No. 1
Material: MgTaAu
Method: DFT, PBE
State: relaxed

```
MgTaAu
1.0
0.0000 3.1589 3.1589
3.1589 0.0000 3.1589
3.1589 3.1589 0.0000
Mg Ta Au
1 1 1
Direct
0.0000 0.0000 0.0000
0.7500 0.7500 0.7500
0.5000 0.5000 0.5000
```

Summary:
Total magnetization in μB/f.u.: 0.0
Total DFT energy (no corrections) in eV for the cell shown: -14.6
Space group: F-43m (216)


No. 2
Material: TbTmW2C3
Method: DFT, PBE
State: relaxed

```
TbTmW2C3
1.0
5.8902 -1.6563 0.0000
5.8902 1.6563 0.0000
-2.1651 0.0000 5.2680
Tb Tm W C
1 1 2 3
Direct
0.0000 0.0000 0.0000
0.2205 0.2205 0.6419
0.4539 0.4539 0.4914
0.7645 0.7645 0.1447
0.3592 0.3592 0.0815
0.6104 0.6104 0.8145
0.8571 0.8571 0.5539
```

Summary:
Total magnetization in μB/f.u.: 0.0
Total DFT energy (no corrections) in eV for the cell shown: -65.2
Space group: Cm (8)